The following is a GGA-PBE calculation of a relaxed AcPrO crystal, from Alexandria.

a b c (Å): 6.6227 6.6227 6.6227
angles (deg): 90.00 90.00 90.00
Sites, in units of the cell vectors:
O 0.2444 0.7556 0.2556
O 0.2556 0.2444 0.7556
O 0.7556 0.2556 0.2444
O 0.7444 0.7444 0.7444
Pr 0.3997 0.3997 0.3997
Pr 0.1003 0.6003 0.8997
Pr 0.8997 0.1003 0.6003
Pr 0.6003 0.8997 0.1003
Ac 0.0971 0.0971 0.0971
Ac 0.5971 0.4029 0.9029
Ac 0.4029 0.9029 0.5971
Ac 0.9029 0.5971 0.4029

Properties
The calculation puts the excess energy over the best structure of this formula in the dataset at 45 kJ/mol of formula units. The calculation puts the electronic total energy at -0.222 Ha/atom. The value obtained for the density of states at the Fermi level is 0.676 states/eV/atom. For the calculated volume, the calculation gives 24.21 Å³ per atom. Its size of the total moment is 0.00 μB/cell. The crystal system is cubic. Its uncorrected formation energy is -1.43 eV/atom.